[1]
# Li2MgTl2CdIr2

A relaxed structure of Li2MgTl2CdIr2 (PBE, OQMD).

Cell lengths 4.618, 4.618, 6.532 Å; angles 90.00, 90.00, 90.00 degrees
Positions (direct):
Li 0.000 0.500 0.249
Li 0.500 0.000 0.751
Mg 0.500 0.500 0.500
Tl 0.000 0.000 0.500
Tl 0.500 0.500 0.000
Cd 0.000 0.000 0.000
Ir 0.000 0.500 0.744
Ir 0.500 0.000 0.256

E: -29.7 eV per formula unit

[2]
# BeRe2

A relaxed structure of BeRe2 (PBE, OQMD).

Cell lengths 6.863, 6.863, 6.863 Å; angles 60.00, 60.00, 60.00 degrees
Positions (direct):
Be 0.125 0.125 0.125
Be 0.875 0.875 0.875
Re 0.000 0.000 0.000
Re 0.000 0.000 0.500
Re 0.000 0.500 0.000
Re 0.500 0.000 0.000

E: -16.5 eV per formula unit
relative energy among the computed polymorphs: 3234 meV per atom

[3]
# HoGa

A relaxed structure of HoGa (PBE, OQMD).

Cell lengths 4.173, 4.173, 4.173 Å; angles 60.00, 60.00, 60.00 degrees
Positions (direct):
Ho 0.000 0.000 0.000
Ga 0.500 0.500 0.500

E: -8.1 eV per formula unit